1.
The following is a PBE calculation of a geometry-optimized K2MnOs structure, from Alexandria.

Cell: 5.164 6.494 2.796 Å, 79.18 86.03 112.50°
Site moments in Bohr magnetons follow the coordinates.
Positions (direct):
Os 0.500 0.500 0.000  0.08
K 0.000 0.000 0.000  -0.02
K 0.500 0.000 0.500  -0.02
Mn 0.000 0.500 0.500  3.68

Values from the calculation:
Excess energy over the best structure of this formula in the dataset, meV/atom: 574
Crystal system: monoclinic
Final energy, eV per atom: -4.350
Formation energy from the elements, kJ per mole of atoms: 125

***

2.
The following is a PBE calculation of a geometry-optimized K2MnOs structure, from Alexandria.

Cell: 6.712 6.712 6.712 Å, 149.01 128.14 61.64°
Site moments in Bohr magnetons follow the coordinates.
Positions (direct):
Os 0.315 0.815 0.500  -0.15
K 0.731 0.231 0.500  0.01
K 0.023 0.023 0.000  0.01
Mn 0.431 0.431 0.000  2.55

Values from the calculation:
Excess energy over the best structure of this formula in the dataset, meV/atom: 291
Crystal system: orthorhombic
Final energy, eV per atom: -4.632
Formation energy from the elements, kJ per mole of atoms: 98

***

3.
The following is a PBE calculation of a geometry-optimized K2MnOs structure, from Alexandria.

Cell: 5.627 3.965 3.965 Å, 90.00 90.00 90.00°
Site moments in Bohr magnetons follow the coordinates.
Positions (direct):
Mn 0.500 0.500 0.000  3.69
Os 0.500 0.000 0.500  -0.65
K 0.000 0.500 0.500  -0.01
K 0.000 0.000 0.000  -0.01

Values from the calculation:
Excess energy over the best structure of this formula in the dataset, meV/atom: 685
Crystal system: tetragonal
Final energy, eV per atom: -4.238
Formation energy from the elements, kJ per mole of atoms: 136

***

Repeat the second record exactly.
The following is a PBE calculation of a geometry-optimized K2MnOs structure, from Alexandria.

Cell: 6.712 6.712 6.712 Å, 149.01 128.14 61.64°
Site moments in Bohr magnetons follow the coordinates.
Positions (direct):
Os 0.315 0.815 0.500  -0.15
K 0.731 0.231 0.500  0.01
K 0.023 0.023 0.000  0.01
Mn 0.431 0.431 0.000  2.55

Values from the calculation:
Excess energy over the best structure of this formula in the dataset, meV/atom: 291
Crystal system: orthorhombic
Final energy, eV per atom: -4.632
Formation energy from the elements, kJ per mole of atoms: 98